{
  "formula": "BaY2Zr",
  "functional": "PBE",
  "state": "relaxed",
  "lattice_angstrom": [[-2.6064, 2.6064, 4.8387], [2.6064, -2.6064, 4.8387], [2.6064, 2.6064, -4.8387]],
  "species": ["Ba", "Y", "Y", "Zr"],
  "frac_coords": [[0.0000, 0.0000, 0.0000], [0.2500, 0.7500, 0.5000], [0.7500, 0.2500, 0.5000], [0.5000, 0.5000, 0.0000]],
  "e_form_ev_per_atom": 0.40,
  "e_above_lowest_polymorph_ev_per_atom": 0.2050,
  "space_group": "I4/mmm (139)",
  "total_energy_ev_per_atom": -5.45
}



{
  "formula": "BaY2Zr",
  "functional": "PBE",
  "state": "relaxed",
  "lattice_angstrom": [[0.0000, 4.0500, 4.0500], [4.0500, 0.0000, 4.0500], [4.0500, 4.0500, 0.0000]],
  "species": ["Ba", "Y", "Y", "Zr"],
  "frac_coords": [[0.0000, 0.0000, 0.0000], [0.2500, 0.2500, 0.2500], [0.7500, 0.7500, 0.7500], [0.5000, 0.5000, 0.5000]],
  "e_form_ev_per_atom": 0.43,
  "e_above_lowest_polymorph_ev_per_atom": 0.2401,
  "space_group": "Fm-3m (225)",
  "total_energy_ev_per_atom": -5.42
}



{
  "formula": "BaY2Zr2",
  "functional": "PBE",
  "state": "relaxed",
  "lattice_angstrom": [[9.6174, 0.0000, 0.0000], [0.0000, 9.6174, 0.0000], [0.0000, 0.0000, 3.4580]],
  "species": ["Ba", "Ba", "Y", "Y", "Y", "Y", "Zr", "Zr", "Zr", "Zr"],
  "frac_coords": [[0.0000, 0.0000, 0.0000], [0.5000, 0.5000, 0.0000], [0.1239, 0.3761, 0.0000], [0.3761, 0.8761, 0.0000], [0.6239, 0.1239, 0.0000], [0.8761, 0.6239, 0.0000], [0.1667, 0.6667, 0.5000], [0.3333, 0.1667, 0.5000], [0.6667, 0.8333, 0.5000], [0.8333, 0.3333, 0.5000]],
  "e_form_ev_per_atom": 0.35,
  "e_above_lowest_polymorph_ev_per_atom": 0.0848,
  "space_group": "P4/mbm (127)",
  "total_energy_ev_per_atom": -6.04
}



{
  "formula": "BaYZr",
  "functional": "PBE",
  "state": "relaxed",
  "lattice_angstrom": [[3.5731, 0.0000, 0.0000], [-1.7865, 3.0944, 0.0000], [0.0000, 0.0000, 9.0781]],
  "species": ["Ba", "Y", "Zr"],
  "frac_coords": [[0.0000, 0.0000, 0.0000], [0.6667, 0.3333, 0.3854], [0.3333, 0.6667, 0.6626]],
  "e_form_ev_per_atom": 0.36,
  "e_above_lowest_polymorph_ev_per_atom": 0.0425,
  "space_group": "P3m1 (156)",
  "total_energy_ev_per_atom": -5.28
}



{
  "formula": "BaYZr",
  "functional": "PBE",
  "state": "relaxed",
  "lattice_angstrom": [[0.0000, 3.9340, 3.9340], [3.9340, 0.0000, 3.9340], [3.9340, 3.9340, 0.0000]],
  "species": ["Ba", "Y", "Zr"],
  "frac_coords": [[0.0000, 0.0000, 0.0000], [0.5000, 0.5000, 0.5000], [0.7500, 0.7500, 0.7500]],
  "e_form_ev_per_atom": 1.02,
  "e_above_lowest_polymorph_ev_per_atom": 0.6956,
  "space_group": "F-43m (216)",
  "total_energy_ev_per_atom": -4.63
}



{
  "formula": "Ba3YZr",
  "functional": "PBE",
  "state": "relaxed",
  "lattice_angstrom": [[6.2723, 0.0000, 0.0000], [0.0000, 6.2723, 0.0000], [0.0000, 0.0000, 6.2723]],
  "species": ["Ba", "Ba", "Ba", "Y", "Zr"],
  "frac_coords": [[0.0000, 0.0000, 0.5000], [0.0000, 0.5000, 0.0000], [0.5000, 0.0000, 0.0000], [0.5000, 0.5000, 0.5000], [0.0000, 0.0000, 0.0000]],
  "e_form_ev_per_atom": 0.85,
  "e_above_lowest_polymorph_ev_per_atom": 0.0000,
  "space_group": "Pm-3m (221)",
  "total_energy_ev_per_atom": -3.30
}



{
  "formula": "BaYZr",
  "functional": "PBE",
  "state": "relaxed",
  "lattice_angstrom": [[-1.7552, 1.7552, 8.3418], [1.7552, -1.7552, 8.3418], [1.7552, 1.7552, -8.3418]],
  "species": ["Ba", "Y", "Zr"],
  "frac_coords": [[0.0000, 0.0000, 0.0000], [0.3018, 0.3018, 0.0000], [0.6746, 0.6746, 0.0000]],
  "e_form_ev_per_atom": 0.32,
  "e_above_lowest_polymorph_ev_per_atom": 0.0000,
  "space_group": "I4mm (107)",
  "total_energy_ev_per_atom": -5.32
}



{
  "formula": "Ba3YZr",
  "functional": "PBE",
  "state": "relaxed",
  "lattice_angstrom": [[6.3153, 0.0000, 0.0000], [0.0000, 6.3153, 0.0000], [0.0000, 0.0000, 6.3153]],
  "species": ["Ba", "Ba", "Ba", "Y", "Zr"],
  "frac_coords": [[0.0000, 0.0000, 0.5000], [0.0000, 0.5000, 0.0000], [0.5000, 0.0000, 0.0000], [0.0000, 0.0000, 0.0000], [0.5000, 0.5000, 0.5000]],
  "e_form_ev_per_atom": 1.27,
  "e_above_lowest_polymorph_ev_per_atom": 0.4125,
  "space_group": "Pm-3m (221)",
  "total_energy_ev_per_atom": -2.89
}